AlFeCo2 | PBE | optimized geometry

Cell and atoms, written as POSCAR:
```
AlFeCo2
1.0
3.985 0.000 0.000
-1.993 3.451 0.000
0.000 0.000 7.147
Al Fe Co
2 2 4
direct
0.333 0.667 0.250 Al
0.667 0.333 0.750 Al
0.000 0.000 0.000 Fe
0.000 0.000 0.500 Fe
0.333 0.667 0.593 Co
0.333 0.667 0.907 Co
0.667 0.333 0.093 Co
0.667 0.333 0.407 Co
```

Output
As for the space group: P6_3/mmc (194). The spin magnetization is 9.98 μB/cell. As for the total energy: -6.686 eV/atom.